# MgSbRh2 GGA-PBEsol optimized geometry
# Density of states at the Fermi level = 2.27 states/eV/cell
# Formation energy from raw total energies = -439 meV/atom
# Density = 9.17 g/cm3
data_MgSbRh2
_cell_length_a 3.115
_cell_length_b 4.468
_cell_length_c 4.984
_cell_angle_alpha 103.98
_cell_angle_beta 108.21
_cell_angle_gamma 90.00
_space_group_name_H-M_alt 'P 1'
_space_group_IT_number 1
loop_
_space_group_symop_operation_xyz
'x,y,z'
loop_
_atom_site_label
_atom_site_fract_x
_atom_site_fract_y
_atom_site_fract_z
Rh1 0.995 0.930 0.989
Sb1 0.493 0.431 0.985
Mg1 0.255 0.818 0.510
Rh2 0.758 0.320 0.515



# La2YTc GGA-PBEsol optimized geometry
# Density of states at the Fermi level = 4.02 states/eV/cell
# Distance to the lowest polymorph of the same formula = 0.170 eV/atom
# Formation enthalpy at 0 K = 0.354 eV/atom
# Density = 7.69 g/cm3
data_La2YTc
_cell_length_a 4.743
_cell_length_b 4.600
_cell_length_c 4.600
_cell_angle_alpha 90.00
_cell_angle_beta 90.00
_cell_angle_gamma 90.00
_space_group_name_H-M_alt 'P 1'
_space_group_IT_number 1
loop_
_space_group_symop_operation_xyz
'x,y,z'
loop_
_atom_site_label
_atom_site_fract_x
_atom_site_fract_y
_atom_site_fract_z
Y1 0.500 0.000 0.000
Tc1 0.500 0.500 0.500
La1 0.000 0.000 0.500
La2 0.000 0.500 0.000



# TlSe2Br GGA-PBEsol optimized geometry
# Density of states at the Fermi level = 4.08 states/eV/cell
# Distance to the lowest polymorph of the same formula = 0.504 eV/atom
# Formation energy from raw total energies = 294 meV/atom
# Density = 7.89 g/cm3
data_TlSe2Br
_cell_length_a 3.223
_cell_length_b 5.375
_cell_length_c 5.375
_cell_angle_alpha 90.00
_cell_angle_beta 90.00
_cell_angle_gamma 90.00
_space_group_name_H-M_alt 'P 1'
_space_group_IT_number 1
loop_
_space_group_symop_operation_xyz
'x,y,z'
loop_
_atom_site_label
_atom_site_fract_x
_atom_site_fract_y
_atom_site_fract_z
Tl1 0.500 0.500 0.500
Br1 0.500 0.000 0.000
Se1 0.000 0.000 0.500
Se2 0.000 0.500 0.000



# CaAl2CdW GGA-PBEsol optimized geometry
# Density of states at the Fermi level = 2.53 states/eV/cell
# Formation enthalpy at 0 K = 0.410 eV/atom
# Density = 5.24 g/cm3
data_CaAl2CdW
_cell_length_a 4.869
_cell_length_b 4.869
_cell_length_c 5.214
_cell_angle_alpha 90.00
_cell_angle_beta 90.00
_cell_angle_gamma 90.00
_space_group_name_H-M_alt 'P 1'
_space_group_IT_number 1
loop_
_space_group_symop_operation_xyz
'x,y,z'
loop_
_atom_site_label
_atom_site_fract_x
_atom_site_fract_y
_atom_site_fract_z
Cd1 0.000 0.000 0.500
Al1 0.000 0.500 0.000
W1 0.000 0.000 0.000
Ca1 0.500 0.500 0.500
Al2 0.500 0.000 0.000



# Te2W GGA-PBEsol optimized geometry
# Formation energy from raw total energies = -86 meV/atom
# Density = 9.85 g/cm3
data_Te2W
_cell_length_a 3.493
_cell_length_b 3.493
_cell_length_c 14.000
_cell_angle_alpha 90.00
_cell_angle_beta 90.00
_cell_angle_gamma 120.00
_space_group_name_H-M_alt 'P 1'
_space_group_IT_number 1
loop_
_space_group_symop_operation_xyz
'x,y,z'
loop_
_atom_site_label
_atom_site_fract_x
_atom_site_fract_y
_atom_site_fract_z
Te1 0.333 0.667 0.120
Te2 0.667 0.333 0.620
W1 0.333 0.667 0.750
Te3 0.333 0.667 0.380
W2 0.667 0.333 0.250
Te4 0.667 0.333 0.880



# TcOsRh2 GGA-PBEsol optimized geometry
# Density of states at the Fermi level = 3.93 states/eV/cell
# Distance to the lowest polymorph of the same formula = 0.063 eV/atom
# Formation enthalpy at 0 K = -0.026 eV/atom
# Density = 14.94 g/cm3
data_TcOsRh2
_cell_length_a 2.683
_cell_length_b 2.683
_cell_length_c 7.629
_cell_angle_alpha 90.00
_cell_angle_beta 90.00
_cell_angle_gamma 90.00
_space_group_name_H-M_alt 'P 1'
_space_group_IT_number 1
loop_
_space_group_symop_operation_xyz
'x,y,z'
loop_
_atom_site_label
_atom_site_fract_x
_atom_site_fract_y
_atom_site_fract_z
Tc1 0.000 0.000 0.499
Rh1 0.500 0.500 0.254
Os1 0.500 0.500 0.750
Rh2 0.000 0.000 0.997



# BaSrSb GGA-PBEsol optimized geometry
# Density of states at the Fermi level = 1.82 states/eV/cell
# Distance to the lowest polymorph of the same formula = 0.000 eV/atom
# Formation energy from raw total energies = -824 meV/atom
# Density = 4.56 g/cm3
data_BaSrSb
_cell_length_a 5.631
_cell_length_b 5.631
_cell_length_c 5.631
_cell_angle_alpha 60.00
_cell_angle_beta 60.00
_cell_angle_gamma 60.00
_space_group_name_H-M_alt 'P 1'
_space_group_IT_number 1
loop_
_space_group_symop_operation_xyz
'x,y,z'
loop_
_atom_site_label
_atom_site_fract_x
_atom_site_fract_y
_atom_site_fract_z
Sb1 0.250 0.250 0.250
Sr1 0.000 0.000 0.000
Ba1 0.500 0.500 0.500



# LaHg2Pt2 GGA-PBEsol optimized geometry
# Density of states at the Fermi level = 2.34 states/eV/cell
# Formation enthalpy at 0 K = -0.560 eV/atom
# Density = 14.21 g/cm3
data_LaHg2Pt2
_cell_length_a 4.092
_cell_length_b 4.092
_cell_length_c 7.109
_cell_angle_alpha 106.72
_cell_angle_beta 106.72
_cell_angle_gamma 90.00
_space_group_name_H-M_alt 'P 1'
_space_group_IT_number 1
loop_
_space_group_symop_operation_xyz
'x,y,z'
loop_
_atom_site_label
_atom_site_fract_x
_atom_site_fract_y
_atom_site_fract_z
Pt1 0.599 0.599 0.197
Pt2 0.401 0.401 0.803
Hg1 0.750 0.250 0.500
Hg2 0.250 0.750 0.500
La1 0.000 0.000 0.000



# Ca2POs GGA-PBEsol optimized geometry
# Density of states at the Fermi level = 4.15 states/eV/cell
# Formation enthalpy at 0 K = 0.139 eV/atom
# Density = 7.13 g/cm3
data_Ca2POs
_cell_length_a 4.631
_cell_length_b 4.631
_cell_length_c 4.631
_cell_angle_alpha 60.00
_cell_angle_beta 60.00
_cell_angle_gamma 60.00
_space_group_name_H-M_alt 'P 1'
_space_group_IT_number 1
loop_
_space_group_symop_operation_xyz
'x,y,z'
loop_
_atom_site_label
_atom_site_fract_x
_atom_site_fract_y
_atom_site_fract_z
Ca1 0.750 0.750 0.750
Os1 0.500 0.500 0.500
P1 0.250 0.250 0.250
Ca2 0.000 0.000 0.000



# MnOs2Au GGA-PBEsol optimized geometry
# Density of states at the Fermi level = 4.90 states/eV/cell
# Distance to the lowest polymorph of the same formula = 0.258 eV/atom
# Formation enthalpy at 0 K = 0.597 eV/atom
# Density = 17.94 g/cm3
data_MnOs2Au
_cell_length_a 2.808
_cell_length_b 4.533
_cell_length_c 4.599
_cell_angle_alpha 90.00
_cell_angle_beta 90.00
_cell_angle_gamma 90.00
_space_group_name_H-M_alt 'P 1'
_space_group_IT_number 1
loop_
_space_group_symop_operation_xyz
'x,y,z'
loop_
_atom_site_label
_atom_site_fract_x
_atom_site_fract_y
_atom_site_fract_z
Au1 0.500 0.000 0.500
Mn1 0.000 0.500 0.500
Os1 0.000 0.000 0.000
Os2 0.500 0.500 0.000



# K2YNi GGA-PBEsol optimized geometry
# Density of states at the Fermi level = 4.57 states/eV/cell
# Distance to the lowest polymorph of the same formula = 0.955 eV/atom
# Formation enthalpy at 0 K = 1.149 eV/atom
# Density = 3.05 g/cm3
data_K2YNi
_cell_length_a 5.580
_cell_length_b 5.580
_cell_length_c 5.580
_cell_angle_alpha 60.00
_cell_angle_beta 60.00
_cell_angle_gamma 60.00
_space_group_name_H-M_alt 'P 1'
_space_group_IT_number 1
loop_
_space_group_symop_operation_xyz
'x,y,z'
loop_
_atom_site_label
_atom_site_fract_x
_atom_site_fract_y
_atom_site_fract_z
K1 0.250 0.250 0.250
Y1 0.500 0.500 0.500
Ni1 0.000 0.000 0.000
K2 0.750 0.750 0.750



# Li3Zn3Ge6O16 GGA-PBEsol optimized geometry
# Density of states at the Fermi level = 2.86 states/eV/cell
# Formation energy from raw total energies = -1738 meV/atom
# Density = 5.29 g/cm3
data_Li3Zn3Ge6O16
_cell_length_a 8.292
_cell_length_b 8.291
_cell_length_c 8.292
_cell_angle_alpha 90.00
_cell_angle_beta 90.04
_cell_angle_gamma 90.00
_space_group_name_H-M_alt 'P 1'
_space_group_IT_number 1
loop_
_space_group_symop_operation_xyz
'x,y,z'
loop_
_atom_site_label
_atom_site_fract_x
_atom_site_fract_y
_atom_site_fract_z
O1 0.873 0.893 0.353
O2 0.622 0.354 0.606
O3 0.606 0.604 0.377
O4 0.645 0.878 0.104
O5 0.888 0.112 0.139
O6 0.854 0.357 0.373
O7 0.858 0.123 0.602
O8 0.355 0.378 0.896
O9 0.863 0.862 0.887
Zn1 0.498 0.999 0.247
Zn2 0.002 0.002 0.749
O10 0.352 0.144 0.128
Li1 0.126 0.875 0.372
Ge1 0.879 0.874 0.127
O11 0.894 0.397 0.879
Ge2 0.873 0.619 0.876
O12 0.895 0.628 0.643
O13 0.142 0.623 0.398
Li2 0.623 0.624 0.123
Li3 0.251 0.751 0.000
Li4 0.377 0.124 0.877
Ge3 0.380 0.378 0.121
Ge4 0.122 0.625 0.625
O14 0.630 0.105 0.854
O15 0.602 0.371 0.145
O16 0.137 0.362 0.113
Li5 0.749 0.251 0.000
Ge5 0.373 0.629 0.368
O17 0.877 0.648 0.107
O18 0.112 0.612 0.861
O19 0.106 0.897 0.121
Zn3 0.752 0.748 0.497
O20 0.648 0.644 0.872
O21 0.386 0.387 0.365
Ge6 0.620 0.878 0.879
Ge7 0.121 0.374 0.873
Ge8 0.878 0.125 0.375
Zn4 0.998 0.502 0.251
O22 0.398 0.871 0.855
Zn5 0.248 0.248 0.503
Ge9 0.627 0.129 0.632
O23 0.146 0.857 0.627
O24 0.123 0.148 0.893
O25 0.614 0.887 0.635
O26 0.378 0.854 0.394
O27 0.394 0.104 0.623
Zn6 0.502 0.499 0.753
O28 0.362 0.637 0.612
O29 0.370 0.605 0.146
Li6 0.874 0.375 0.628
Ge10 0.127 0.119 0.124
Ge11 0.627 0.378 0.371
O30 0.127 0.393 0.647
O31 0.638 0.137 0.388
O32 0.105 0.128 0.357
Ge12 0.373 0.878 0.629



- The highest density belongs to which entry?
  MnOs2Au



- Which of these has the highest density?
  MnOs2Au